(one)
This record from the Alexandria database describes a relaxed BaNi3Se crystal. The functional is PBE-GGA.

Lattice parameters (Å, degrees): 4.898 4.898 4.898 90.00 90.00 90.00
Fractional coordinates of all 5 atoms:
Ba: 0.000 0.000 0.000
Ni: 0.000 0.000 0.500
Ni: 0.000 0.500 0.000
Ni: 0.500 0.000 0.000
Se: 0.500 0.500 0.500

M_tot: 0.001 μB per atom

(two)
This record from the Alexandria database describes a relaxed BaNi3Se crystal. The functional is PBE-GGA.

Lattice parameters (Å, degrees): 4.592 4.592 4.592 90.00 90.00 90.00
Fractional coordinates of all 5 atoms:
Ba: 0.000 0.000 0.000
Ni: 0.000 0.500 0.500
Ni: 0.500 0.000 0.500
Ni: 0.500 0.500 0.000
Se: 0.500 0.500 0.500

M_tot: 0.000 μB per atom

Result of the stability comparison: (one) is the least stable of them.

(one)
This record from the Alexandria database describes a relaxed BaNi3Sn crystal. The functional is PBE-GGA.

Lattice parameters (Å, degrees): 4.952 4.952 4.952 90.00 90.00 90.00
Fractional coordinates of all 5 atoms:
Ba: 0.000 0.000 0.000
Ni: 0.000 0.000 0.500
Ni: 0.000 0.500 0.000
Ni: 0.500 0.000 0.000
Sn: 0.500 0.500 0.500

M_tot: 0.000 μB per atom

(two)
This record from the Alexandria database describes a relaxed BaNi3Sn crystal. The functional is PBE-GGA.

Lattice parameters (Å, degrees): 4.867 4.867 4.867 90.00 90.00 90.00
Fractional coordinates of all 5 atoms:
Ba: 0.000 0.000 0.000
Ni: 0.000 0.500 0.500
Ni: 0.500 0.000 0.500
Ni: 0.500 0.500 0.000
Sn: 0.500 0.500 0.500

M_tot: 0.068 μB per atom

Result of the stability comparison: (one) is the least stable of them.

(one)
This record from the Alexandria database describes a relaxed BaSr3Ni crystal. The functional is PBE-GGA.

Lattice parameters (Å, degrees): 8.581 7.507 7.103 90.00 90.00 90.00
Fractional coordinates of all 10 atoms:
Ba: 0.000 0.170 0.000
Ba: 0.500 0.830 0.500
Sr: 0.000 0.817 0.480
Sr: 0.250 0.343 0.489
Sr: 0.250 0.657 0.989
Sr: 0.500 0.183 0.980
Sr: 0.750 0.343 0.489
Sr: 0.750 0.657 0.989
Ni: 0.000 0.500 0.237
Ni: 0.500 0.500 0.737

M_tot: 0.000 μB per atom

(two)
This record from the Alexandria database describes a relaxed BaSr3Ni crystal. The functional is PBE-GGA.

Lattice parameters (Å, degrees): 6.063 6.063 6.063 90.00 90.00 90.00
Fractional coordinates of all 5 atoms:
Ba: 0.000 0.000 0.000
Sr: 0.000 0.500 0.500
Sr: 0.500 0.000 0.500
Sr: 0.500 0.500 0.000
Ni: 0.500 0.500 0.500

M_tot: 0.000 μB per atom

Result of the stability comparison: (two) is the least stable of them.